VASP calculation (GGA-PBE) on an optimized crystal structure of SrNdSm2.

Results
Calculated density in g/cm³: 5.77
Energy above the most stable polymorph in this dataset in meV per atom: 94
Energy relative to the elements in kcal/mol of atoms: 4.452
DFT total energy in eV/atom: -3.78
Density of states at the Fermi level in states/eV per cell: 20.035

a b c (Å): 3.6814 3.6814 39.1525
angles (deg): 90.00 90.00 120.00
Space group R-3m (No. 166, hexagonal axes)
Inequivalent atoms, fractional coordinates:
Sr1 0.0000 0.0000 0.0000 x3
Nd1 0.0000 0.0000 0.5000 x3
Sm1 0.0000 0.0000 0.0920 x6

VASP calculation (GGA-PBE) on an optimized crystal structure of SrNd2Sm.

Results
Calculated density in g/cm³: 5.79
Energy above the most stable polymorph in this dataset in meV per atom: 70
Energy relative to the elements in kcal/mol of atoms: 3.546
DFT total energy in eV/atom: -3.83
Density of states at the Fermi level in states/eV per cell: 7.102

a b c (Å): 5.330 5.330 5.316
angles (deg): 90.00 90.00 90.00
Space group P4/mmm (No. 123)
Inequivalent atoms, fractional coordinates:
Sr1 0.000 0.000 0.000 x1
Nd1 0.000 0.500 0.500 x2
Sm1 0.500 0.500 0.000 x1

VASP calculation (GGA-PBE) on an optimized crystal structure of SrNd2Sm.

Results
Calculated density in g/cm³: 5.73
Energy above the most stable polymorph in this dataset in meV per atom: 134
Energy relative to the elements in kcal/mol of atoms: 5.019
DFT total energy in eV/atom: -3.77
Density of states at the Fermi level in states/eV per cell: 34.540

a b c (Å): 8.482 8.482 8.482
angles (deg): 90.00 90.00 90.00
Space group Fm-3m (No. 225)
Inequivalent atoms, fractional coordinates:
Sr1 0.000 0.000 0.000 x4
Nd1 0.250 0.250 0.250 x8
Sm1 0.000 0.000 0.500 x4

VASP calculation (GGA-PBE) on an optimized crystal structure of SrNd14Sm.

Results
Calculated density in g/cm³: 6.52
Energy relative to the elements in kcal/mol of atoms: 0.985
DFT total energy in eV/atom: -4.53
Density of states at the Fermi level in states/eV per cell: 23.901

a b c (Å): 7.428 7.428 10.422
angles (deg): 90.00 90.00 90.00
Space group P4/mmm (No. 123)
Inequivalent atoms, fractional coordinates:
Sr1 0.000 0.000 0.000 x1
Nd1 0.000 0.000 0.500 x1
Nd2 0.000 0.500 0.000 x2
Nd3 0.000 0.500 0.500 x2
Nd4 0.256 0.256 0.254 x8
Nd5 0.500 0.500 0.500 x1
Sm1 0.500 0.500 0.000 x1

VASP calculation (GGA-PBE) on an optimized crystal structure of SrNd2Sm.

Results
Calculated density in g/cm³: 5.70
Energy above the most stable polymorph in this dataset in meV per atom: 0
Energy relative to the elements in kcal/mol of atoms: 1.928
DFT total energy in eV/atom: -3.90
Density of states at the Fermi level in states/eV per cell: 5.811

a b c (Å): 3.754 3.754 10.874
angles (deg): 90.00 90.00 90.00
Space group P4/mmm (No. 123)
Inequivalent atoms, fractional coordinates:
Sr1 0.000 0.000 0.000 x1
Nd1 0.500 0.500 0.276 x2
Sm1 0.000 0.000 0.500 x1

VASP calculation (GGA-PBE) on an optimized crystal structure of SrNd6Sm8.

Results
Calculated density in g/cm³: 6.79
Energy relative to the elements in kcal/mol of atoms: 4.279
DFT total energy in eV/atom: -4.35
Density of states at the Fermi level in states/eV per cell: 60.776

a b c (Å): 9.9295 9.9295 18.5345
angles (deg): 90.00 90.00 120.00
Space group R-3 (No. 148, hexagonal axes)
Inequivalent atoms, fractional coordinates:
Sr1 0.0000 0.0000 0.0000 x3
Nd1 0.0234 0.2361 0.4065 x18
Sm1 0.0000 0.0000 0.2329 x6
Sm2 0.0451 0.2856 0.9000 x18

VASP calculation (GGA-PBE) on an optimized crystal structure of SrNd5Sm6.

Results
Calculated density in g/cm³: 6.65
Energy relative to the elements in kcal/mol of atoms: 1.313
DFT total energy in eV/atom: -4.43
Density of states at the Fermi level in states/eV per cell: 37.801

a b c (Å): 12.233 11.090 6.392
angles (deg): 90.00 100.06 90.00
Space group C2/m (No. 12)
Inequivalent atoms, fractional coordinates:
Sr1 0.000 0.000 0.000 x2
Nd1 0.000 0.173 0.500 x4
Nd2 0.000 0.340 0.000 x4
Nd3 0.000 0.500 0.500 x2
Sm1 0.244 0.329 0.746 x8
Sm2 0.247 0.500 0.260 x4

VASP calculation (GGA-PBE) on an optimized crystal structure of SrNdSm2.

Results
Calculated density in g/cm³: 5.92
Energy above the most stable polymorph in this dataset in meV per atom: 64
Energy relative to the elements in kcal/mol of atoms: 3.741
DFT total energy in eV/atom: -3.81
Density of states at the Fermi level in states/eV per cell: 7.211

a b c (Å): 5.304 5.304 5.309
angles (deg): 90.00 90.00 90.00
Space group P4/mmm (No. 123)
Inequivalent atoms, fractional coordinates:
Sr1 0.000 0.000 0.000 x1
Nd1 0.500 0.500 0.000 x1
Sm1 0.000 0.500 0.500 x2

VASP calculation (GGA-PBE) on an optimized crystal structure of SrNd2Sm.

Results
Calculated density in g/cm³: 5.72
Energy above the most stable polymorph in this dataset in meV per atom: 4
Energy relative to the elements in kcal/mol of atoms: 2.017
DFT total energy in eV/atom: -3.90
Density of states at the Fermi level in states/eV per cell: 16.793

a b c (Å): 3.7630 3.7630 37.3752
angles (deg): 90.00 90.00 120.00
Space group R3m (No. 160, hexagonal axes)
Inequivalent atoms, fractional coordinates:
Sr1 0.0000 0.0000 0.0000 x3
Nd1 0.0000 0.0000 0.5770 x3
Nd2 0.0000 0.0000 0.7555 x3
Sm1 0.0000 0.0000 0.1660 x3

VASP calculation (GGA-PBE) on an optimized crystal structure of SrNdSm2.

Results
Calculated density in g/cm³: 5.86
Energy above the most stable polymorph in this dataset in meV per atom: 0
Energy relative to the elements in kcal/mol of atoms: 2.276
DFT total energy in eV/atom: -3.87
Density of states at the Fermi level in states/eV per cell: 18.107

a b c (Å): 3.7516 3.7516 37.1654
angles (deg): 90.00 90.00 120.00
Space group R3m (No. 160, hexagonal axes)
Inequivalent atoms, fractional coordinates:
Sr1 0.0000 0.0000 0.0000 x3
Nd1 0.0000 0.0000 0.1658 x3
Sm1 0.0000 0.0000 0.5774 x3
Sm2 0.0000 0.0000 0.7549 x3

VASP calculation (GGA-PBE) on an optimized crystal structure of SrNdSm14.

Results
Calculated density in g/cm³: 6.99
Energy relative to the elements in kcal/mol of atoms: 1.136
DFT total energy in eV/atom: -4.48
Density of states at the Fermi level in states/eV per cell: 22.538

a b c (Å): 7.343 7.343 10.295
angles (deg): 90.00 90.00 90.00
Space group P4/mmm (No. 123)
Inequivalent atoms, fractional coordinates:
Sr1 0.000 0.000 0.000 x1
Nd1 0.500 0.500 0.000 x1
Sm1 0.000 0.000 0.500 x1
Sm2 0.000 0.500 0.000 x2
Sm3 0.000 0.500 0.500 x2
Sm4 0.255 0.255 0.256 x8
Sm5 0.500 0.500 0.500 x1

VASP calculation (GGA-PBE) on an optimized crystal structure of SrNd8Sm6.

Results
Calculated density in g/cm³: 6.72
Energy relative to the elements in kcal/mol of atoms: 4.241
DFT total energy in eV/atom: -4.36
Density of states at the Fermi level in states/eV per cell: 61.445

a b c (Å): 9.9532 9.9532 18.5236
angles (deg): 90.00 90.00 120.00
Space group R-3 (No. 148, hexagonal axes)
Inequivalent atoms, fractional coordinates:
Sr1 0.0000 0.0000 0.0000 x3
Nd1 0.0000 0.0000 0.2353 x6
Nd2 0.0448 0.2866 0.9001 x18
Sm1 0.0238 0.2352 0.4070 x18

VASP calculation (GGA-PBE) on an optimized crystal structure of SrNdSm2.

Results
Calculated density in g/cm³: 5.82
Energy above the most stable polymorph in this dataset in meV per atom: 0
Energy relative to the elements in kcal/mol of atoms: 2.286
DFT total energy in eV/atom: -3.87
Density of states at the Fermi level in states/eV per cell: 6.569

a b c (Å): 3.748 3.748 10.817
angles (deg): 90.00 90.00 90.00
Space group P4/mmm (No. 123)
Inequivalent atoms, fractional coordinates:
Sr1 0.000 0.000 0.000 x1
Nd1 0.000 0.000 0.500 x1
Sm1 0.500 0.500 0.275 x2